Entry 1:
This record from the Alexandria database describes an optimized crystal structure of Y2MgTc. The functional is GGA-PBE.

```
Y2MgTc
1.0
-4.018 4.018 3.123
4.018 -4.018 3.123
4.018 4.018 -3.123
Y Mg Tc
4 2 2
direct
0.078 0.625 0.953
0.375 0.328 0.453
0.672 0.125 0.047
0.875 0.922 0.547
0.250 0.750 0.500
0.500 0.500 0.000
0.000 0.000 0.000
0.750 0.250 0.500
```

Values from the calculation:
Space-group type: I-42d
DOS at the Fermi energy: 8.6 states/eV per cell
Magnetic moment: 0.00 μB per formula unit
ΔE_f: 150 kJ/mol of formula units
Calculated total energy: -46.676 eV/cell


Entry 2:
This record from the Alexandria database describes an optimized crystal structure of Y4MgTc. The functional is GGA-PBE.

```
Y4MgTc
1.0
0.000 4.355 4.355
4.355 0.000 4.355
4.355 4.355 0.000
Y Mg Tc
4 1 1
direct
0.376 0.376 0.376
0.376 0.376 0.871
0.376 0.871 0.376
0.871 0.376 0.376
0.000 0.000 0.000
0.750 0.750 0.750
```

Values from the calculation:
Space-group type: F-43m
Excess energy over the best structure of this formula in the dataset: 0.837 eV/atom
DOS at the Fermi energy: 8.6 states/eV per cell
Magnetic moment: 1.29 μB per formula unit
ΔE_f: 441 kJ/mol of formula units
Calculated total energy: -33.249 eV/cell


Entry 3:
This record from the Alexandria database describes an optimized crystal structure of YMg2Tc2. The functional is GGA-PBE.

```
YMg2Tc2
1.0
7.897 0.000 0.000
0.000 7.897 0.000
0.000 0.000 3.143
Y Mg Tc
2 4 4
direct
0.000 0.000 0.000
0.500 0.500 0.000
0.185 0.315 0.500
0.315 0.815 0.500
0.685 0.185 0.500
0.815 0.685 0.500
0.102 0.602 0.000
0.398 0.102 0.000
0.602 0.898 0.000
0.898 0.398 0.000
```

Values from the calculation:
Space-group type: P4/mbm
Excess energy over the best structure of this formula in the dataset: 0.000 eV/atom
DOS at the Fermi energy: 8.5 states/eV per cell
Magnetic moment: 0.00 μB per formula unit
ΔE_f: 109 kJ/mol of formula units
Calculated total energy: -58.506 eV/cell